Entry from the Alexandria database: Sr2InSb3Rh4 after structural relaxation (PBE).

Results
volume: 22.418 A^3/atom
ΔE_f (raw): -0.68 eV per atom
energy: -54.66 eV per cell
magnetic moment: 0.00 μB per cell

a b c (Å): 4.5223 4.5223 10.9617
angles (deg): 90.00 90.00 90.00
With the nearest neighbours (Å) after each atom.
Atoms (fractional coordinates):
1 Sr 0.0000 0.5000 0.2481  8 Rh 3.45-3.54, 6 Sb 3.45-3.57, 2 In 3.57
2 Sr 0.5000 0.0000 0.7519  8 Rh 3.45-3.54, 6 Sb 3.45-3.57, 2 In 3.57
3 In 0.0000 0.0000 0.5000  4 Rh 2.69
4 Sb 0.0000 0.5000 0.8709  5 Rh 2.61-2.67
5 Sb 0.5000 0.0000 0.1291  5 Rh 2.61-2.67
6 Sb 0.5000 0.5000 0.5000  4 Rh 2.69
7 Rh 0.0000 0.0000 0.0000  4 Sb 2.67
8 Rh 0.0000 0.5000 0.6332  3 Sb 2.61-2.69, 2 In 2.69
9 Rh 0.5000 0.0000 0.3668  3 Sb 2.61-2.69, 2 In 2.69
10 Rh 0.5000 0.5000 0.0000  4 Sb 2.67

---

Entry from the Alexandria database: Nd5SmN4 after structural relaxation (PBE).

Results
volume: 20.945 A^3/atom
ΔE_f (raw): -1.09 eV per atom
energy: -72.76 eV per cell
magnetic moment: 0.00 μB per cell

a b c (Å): 8.1476 8.1476 7.4786
angles (deg): 102.65 102.65 25.66
With the nearest neighbours (Å) after each atom.
Atoms (fractional coordinates):
1 Nd 0.0000 0.0000 0.0000  4 N 2.62
2 Nd 0.3360 0.3360 0.6506  4 N 2.51-2.64
3 Nd 0.3416 0.3416 0.1951  3 N 2.43-2.48
4 Nd 0.6584 0.6584 0.8049  3 N 2.43-2.48
5 Nd 0.6640 0.6640 0.3494  4 N 2.51-2.64
6 Sm 0.0000 0.0000 0.5000  6 N 2.56-2.58
7 N 0.1654 0.1654 0.5821  5 Nd 2.48-2.64, 1 Sm 2.56
8 N 0.4984 0.4984 0.2525  4 Nd 2.43-2.62, 2 Sm 2.58
9 N 0.5016 0.5016 0.7475  4 Nd 2.43-2.62, 2 Sm 2.58
10 N 0.8346 0.8346 0.4179  5 Nd 2.48-2.64, 1 Sm 2.56

---

Entry from the Alexandria database: CdNiPb3 after structural relaxation (PBE).

Results
volume: 28.086 A^3/atom
ΔE_f: 0.154 eV/atom
energy: -17.05 eV per cell
magnetic moment: 0.00 μB per cell
energy above the lowest structure with this stoichiometry: 0.0000 eV/atom

a b c (Å): 5.1978 5.1978 5.1978
angles (deg): 90.00 90.00 90.00
With the nearest neighbours (Å) after each atom.
Atoms (fractional coordinates):
1 Cd 0.0000 0.0000 0.0000  12 Pb 3.68
2 Ni 0.5000 0.5000 0.5000  6 Pb 2.60
3 Pb 0.0000 0.5000 0.5000  2 Ni 2.60
4 Pb 0.5000 0.0000 0.5000  2 Ni 2.60
5 Pb 0.5000 0.5000 0.0000  2 Ni 2.60

---

Entry from the Alexandria database: Ca2GeP after structural relaxation (PBE).

Results
volume: 23.201 A^3/atom
ΔE_f: -0.551 eV/atom
energy: -16.23 eV per cell
magnetic moment: 0.00 μB per cell
energy above the lowest structure with this stoichiometry: 0.0000 eV/atom

a b c (Å): 5.0819 5.0819 5.0819
angles (deg): 60.00 60.00 60.00
With the nearest neighbours (Å) after each atom.
Atoms (fractional coordinates):
1 Ca 0.2500 0.2500 0.2500  4 Ge 3.11, 4 P 3.11
2 Ca 0.7500 0.7500 0.7500  4 Ge 3.11, 4 P 3.11
3 Ge 0.0000 0.0000 0.0000  8 Ca 3.11
4 P 0.5000 0.5000 0.5000  8 Ca 3.11